La8Ge3SeBr4 | the Alexandria database | PBE | optimized geometry; SG = No. 166; raw total energy = -5.315 eV per atom; uncorrected formation energy = -1350 meV per atom; crystal system = trigonal
1.0
-6.722 4.088 3.914
-4.144 -7.788 1.017
8.161 1.017 3.090
La Ge Se Br
8 3 1 4
Cartesian
3.370 -3.623 4.702
-0.660 -4.126 3.176
1.337 -0.584 2.906
0.051 -1.605 6.635
-2.756 -1.077 1.386
-4.041 -2.098 5.115
-2.045 1.444 4.845
-6.075 0.941 3.319
-5.433 -1.850 2.465
-1.352 -1.341 4.010
2.009 -3.385 2.054
-2.072 -3.894 0.508
-3.361 2.044 1.957
0.720 2.553 3.502
0.000 0.000 0.000
4.081 0.509 1.545